DFT (PBEsol) results for Ag4Ru after structural relaxation.

As for the formation energy: 0.831 eV/atom. As for the volume: 180 Å³/cell. As for the uncorrected energy: -3.8524 eV per atom.

The structure in CIF format:
```
data_Ag4Ru
_chemical_formula_sum 'Ag8 Ru2'
_cell_length_a 3.6339
_cell_length_b 3.6339
_cell_length_c 13.6049
_cell_angle_alpha 90.00
_cell_angle_beta 90.00
_cell_angle_gamma 90.00
_symmetry_space_group_name_H-M 'I 4/m m m'
_symmetry_Int_Tables_number 139
_symmetry_space_group_name_Hall '-I 4 2'
loop_
_atom_site_label
_atom_site_fract_x
_atom_site_fract_y
_atom_site_fract_z
Ag1 0.0000 0.0000 0.0954
Ag2 0.0000 0.5000 0.2500
Ru1 0.0000 0.0000 0.5000
```